Version w
# Ta2CoOs

A relaxed Ta2CoOs crystal (GGA-PBE, the Alexandria database).

Calculated values
- ρ: 16.4 g cm⁻³
- Size of the total moment: 1.14 μB per formula unit
- D(E_F): 4.42 states/eV per cell

Geometry as POSCAR:
```
Ta2CoOs
1.0
-2.544 2.345 2.784
-2.439 3.379 -1.533
-4.422 -0.362 -0.193
Os Ta Co
1 2 1
Direct
0.500 0.500 0.500
0.250 0.250 0.250
0.750 0.750 0.750
0.000 0.000 0.000
```

=====

Version x
# Ta2CoOs

A relaxed Ta2CoOs crystal (GGA-PBE, the Alexandria database).

Calculated values
- ρ: 16.6 g cm⁻³
- Size of the total moment: 0.92 μB per formula unit
- D(E_F): 3.74 states/eV per cell

Geometry as POSCAR:
```
Ta2CoOs
1.0
-3.737 2.132 -1.003
-1.137 0.595 -4.227
-3.421 -2.219 -1.700
Os Co Ta
1 1 2
Direct
0.750 0.750 0.750
0.500 0.500 0.500
0.250 0.250 0.250
0.000 0.000 0.000
```

=====

Version y
# Ta2CoOs

A relaxed Ta2CoOs crystal (GGA-PBE, the Alexandria database).

Calculated values
- ρ: 16.4 g cm⁻³
- Size of the total moment: 0.12 μB per formula unit
- D(E_F): 4.26 states/eV per cell

Geometry as POSCAR:
```
Ta2CoOs
1.0
-0.945 2.536 0.444
-2.574 -0.926 -0.189
-0.073 -1.441 8.077
Co Os Ta
1 1 2
Direct
0.000 0.000 0.525
0.500 0.500 0.715
0.000 0.000 0.986
0.500 0.500 0.274
```

=====

Version z
# Ta2CoOs

A relaxed Ta2CoOs crystal (GGA-PBE, the Alexandria database).

Calculated values
- ρ: 16.3 g cm⁻³
- Size of the total moment: 1.12 μB per formula unit
- D(E_F): 5.21 states/eV per cell

Geometry as POSCAR:
```
Ta2CoOs
1.0
9.367 0.010 0.006
8.948 2.770 0.006
8.948 1.358 2.414
Os Co Ta
1 1 2
Direct
0.757 0.757 0.757
0.496 0.496 0.496
0.004 0.004 0.004
0.242 0.242 0.242
```

=====

Stability check: which of them is most stable? version w.

=====

Version w
# Ta2CoOs

A relaxed Ta2CoOs crystal (GGA-PBE, the Alexandria database).

Calculated values
- ρ: 15.5 g cm⁻³
- Size of the total moment: 0.00 μB per formula unit
- D(E_F): 11.27 states/eV per cell

Geometry as POSCAR:
```
Ta2CoOs
1.0
6.904 0.000 0.000
0.000 6.904 0.000
3.452 3.452 2.745
Ta Os Co
4 2 2
Direct
0.375 0.389 0.750
0.875 0.861 0.750
0.611 0.125 0.250
0.139 0.625 0.250
0.750 0.250 0.500
0.000 0.000 0.000
0.500 0.500 0.000
0.250 0.750 0.500
```

=====

Version x
# Ta2CoOs

A relaxed Ta2CoOs crystal (GGA-PBE, the Alexandria database).

Calculated values
- ρ: 15.5 g cm⁻³
- Size of the total moment: 0.56 μB per formula unit
- D(E_F): 3.96 states/eV per cell

Geometry as POSCAR:
```
Ta2CoOs
1.0
4.422 -1.443 -3.134
-0.828 4.577 3.134
-2.923 -0.276 4.779
Ta Co Os
2 1 1
Direct
0.000 0.238 0.238
0.000 0.762 0.762
0.000 0.000 0.000
0.000 0.500 0.500
```

=====

Stability check: which of them is most stable? version w.

=====

Version w
# Ta2CoOs

A relaxed Ta2CoOs crystal (GGA-PBE, the Alexandria database).

Calculated values
- ρ: 16.5 g cm⁻³
- Size of the total moment: 1.61 μB per formula unit
- D(E_F): 3.93 states/eV per cell

Geometry as POSCAR:
```
Ta2CoOs
1.0
-1.136 -1.239 -2.580
-0.894 -2.484 1.587
-6.635 0.332 2.763
Os Ta Co
1 2 1
Direct
0.500 0.750 0.750
0.000 0.511 0.489
0.000 0.989 0.011
0.500 0.250 0.250
```

=====

Version x
# Ta2CoOs

A relaxed Ta2CoOs crystal (GGA-PBE, the Alexandria database).

Calculated values
- ρ: 16.3 g cm⁻³
- Size of the total moment: 1.47 μB per formula unit
- D(E_F): 3.42 states/eV per cell

Geometry as POSCAR:
```
Ta2CoOs
1.0
4.505 0.001 0.002
-0.379 4.489 0.002
-0.001 -0.002 3.069
Ta Co Os
2 1 1
Direct
0.000 0.000 0.000
0.500 0.500 0.000
0.500 0.000 0.500
0.000 0.500 0.500
```

=====

Version y
# Ta2CoOs

A relaxed Ta2CoOs crystal (GGA-PBE, the Alexandria database).

Calculated values
- ρ: 16.5 g cm⁻³
- Size of the total moment: 0.00 μB per formula unit
- D(E_F): 2.60 states/eV per cell

Geometry as POSCAR:
```
Ta2CoOs
1.0
4.999 -0.005 0.000
2.081 4.545 0.000
-3.540 -2.270 2.703
Co Os Ta
1 1 2
Direct
0.500 0.500 0.000
0.750 0.250 0.500
0.250 0.750 0.500
0.000 0.000 0.000
```

=====

Version z
# Ta2CoOs

A relaxed Ta2CoOs crystal (GGA-PBE, the Alexandria database).

Calculated values
- ρ: 16.4 g cm⁻³
- Size of the total moment: 1.33 μB per formula unit
- D(E_F): 3.96 states/eV per cell

Geometry as POSCAR:
```
Ta2CoOs
1.0
-0.559 -1.207 -2.895
-1.575 -2.435 1.319
-5.199 3.186 -0.324
Co Ta Os
1 2 1
Direct
0.000 0.000 0.488
0.000 0.000 0.983
0.500 0.500 0.281
0.500 0.500 0.748
```

=====

Stability check: which of them is most stable? version x.

=====

Version w
# TaCoOs

A relaxed TaCoOs crystal (GGA-PBE, the Alexandria database).

Calculated values
- ρ: 14.8 g cm⁻³
- Size of the total moment: 1.23 μB per formula unit
- D(E_F): 2.97 states/eV per cell

Geometry as POSCAR:
```
TaCoOs
1.0
-0.602 -0.056 -4.040
1.561 -3.026 -2.256
-2.473 -2.797 -1.658
Os Ta Co
1 1 1
Direct
0.000 0.000 0.000
0.500 0.500 0.500
0.750 0.750 0.750
```

=====

Version x
# TaCoOs

A relaxed TaCoOs crystal (GGA-PBE, the Alexandria database).

Calculated values
- ρ: 16.3 g cm⁻³
- Size of the total moment: 0.00 μB per formula unit
- D(E_F): 14.83 states/eV per cell

Geometry as POSCAR:
```
TaCoOs
1.0
-3.254 -1.267 -5.052
3.965 -1.235 -5.976
-0.488 -7.073 -1.645
Co Ta Os
6 6 6
Direct
0.019 0.052 0.162
0.485 0.500 0.500
0.019 0.662 0.552
0.233 0.338 0.448
0.233 0.948 0.838
0.485 0.000 0.000
0.936 0.331 0.324
0.936 0.824 0.831
0.591 0.669 0.676
0.229 0.292 0.792
0.314 0.708 0.208
0.591 0.176 0.169
0.786 0.762 0.262
0.661 0.043 0.543
0.276 0.499 0.999
0.774 0.501 0.001
0.247 0.957 0.457
0.810 0.238 0.738
```

=====

Stability check: which of them is most stable? version x.

=====

Version w
# TaCoOs

A relaxed TaCoOs crystal (GGA-PBE, the Alexandria database).

Calculated values
- ρ: 16.6 g cm⁻³
- Size of the total moment: 0.70 μB per formula unit
- D(E_F): 4.08 states/eV per cell

Geometry as POSCAR:
```
TaCoOs
1.0
-4.905 1.806 -3.133
-3.166 1.056 -5.096
-1.396 -2.318 -0.341
Co Os Ta
1 1 1
Direct
0.991 0.991 0.009
0.349 0.349 0.651
0.661 0.661 0.339
```

=====

Version x
# TaCoOs

A relaxed TaCoOs crystal (GGA-PBE, the Alexandria database).

Calculated values
- ρ: 16.3 g cm⁻³
- Size of the total moment: 1.36 μB per formula unit
- D(E_F): 3.72 states/eV per cell

Geometry as POSCAR:
```
TaCoOs
1.0
4.324 0.000 0.000
-2.162 3.745 0.000
0.000 0.000 2.714
Ta Co Os
1 1 1
Direct
0.333 0.667 0.693
0.000 0.000 0.949
0.667 0.333 0.358
```

=====

Version y
# TaCoOs

A relaxed TaCoOs crystal (GGA-PBE, the Alexandria database).

Calculated values
- ρ: 16.9 g cm⁻³
- Size of the total moment: 0.00 μB per formula unit
- D(E_F): 4.45 states/eV per cell

Geometry as POSCAR:
```
TaCoOs
1.0
4.271 -0.001 0.000
-2.135 3.699 0.000
0.000 0.000 5.342
Ta Co Os
2 2 2
Direct
0.334 0.166 0.250
0.666 0.834 0.750
0.667 0.833 0.250
0.333 0.167 0.750
0.000 0.500 0.000
0.000 0.500 0.500
```

=====

Stability check: which of them is most stable? version y.

=====

Version w
# TaCoOs3

A relaxed TaCoOs3 crystal (GGA-PBE, the Alexandria database).

Calculated values
- ρ: 12.8 g cm⁻³
- Size of the total moment: 3.95 μB per formula unit
- D(E_F): 7.93 states/eV per cell

Geometry as POSCAR:
```
TaCoOs3
1.0
-0.628 -2.364 -4.041
-2.934 -2.978 2.198
-3.648 2.802 -1.073
Os Co Ta
3 1 1
Direct
0.500 0.000 0.000
0.000 0.000 0.500
0.000 0.500 0.000
0.500 0.500 0.500
0.000 0.000 0.000
```

=====

Version x
# TaCoOs3

A relaxed TaCoOs3 crystal (GGA-PBE, the Alexandria database).

Calculated values
- ρ: 16.0 g cm⁻³
- Size of the total moment: 2.79 μB per formula unit
- D(E_F): 4.92 states/eV per cell

Geometry as POSCAR:
```
TaCoOs3
1.0
-3.068 2.005 2.401
-2.741 -3.344 -0.709
1.508 -1.999 3.596
Os Co Ta
3 1 1
Direct
0.000 0.000 0.500
0.000 0.500 0.000
0.500 0.000 0.000
0.000 0.000 0.000
0.500 0.500 0.500
```

=====

Stability check: which of them is most stable? version x.

=====

Version w
# Tb4CoOs

A relaxed Tb4CoOs crystal (GGA-PBE, the Alexandria database).

Calculated values
- ρ: 10.0 g cm⁻³
- Size of the total moment: 0.00 μB per formula unit
- D(E_F): 8.31 states/eV per cell

Geometry as POSCAR:
```
Tb4CoOs
1.0
5.983 0.000 -1.746
0.000 6.481 0.000
-0.175 0.000 7.623
Tb Os Co
8 2 2
Direct
0.451 0.750 0.613
0.001 0.500 0.742
0.999 0.500 0.258
0.999 0.000 0.258
0.001 0.000 0.742
0.549 0.250 0.387
0.567 0.250 0.893
0.433 0.750 0.107
0.779 0.750 0.947
0.221 0.250 0.053
0.757 0.750 0.436
0.243 0.250 0.564
```

=====

Version x
# Tb4CoOs

A relaxed Tb4CoOs crystal (GGA-PBE, the Alexandria database).

Calculated values
- ρ: 10.0 g cm⁻³
- Size of the total moment: 0.00 μB per formula unit
- D(E_F): 10.58 states/eV per cell

Geometry as POSCAR:
```
Tb4CoOs
1.0
-3.760 -0.652 4.840
6.225 -2.754 2.950
0.409 7.637 -1.821
Tb Co Os
8 2 2
Direct
0.646 0.049 0.358
0.364 0.636 0.877
0.986 0.759 0.123
0.212 0.310 0.358
0.354 0.951 0.642
0.014 0.241 0.877
0.788 0.690 0.642
0.636 0.364 0.123
0.250 0.000 0.000
0.750 0.000 0.000
0.616 0.366 0.731
0.384 0.634 0.269
```

=====

Stability check: which of them is most stable? version x.

=====

Version w
# Co2TcOs

A relaxed Co2TcOs crystal (GGA-PBE, the Alexandria database).

Calculated values
- ρ: 13.3 g cm⁻³
- Size of the total moment: 2.90 μB per formula unit
- D(E_F): 8.07 states/eV per cell

Geometry as POSCAR:
```
Co2TcOs
1.0
-3.873 -0.153 1.979
1.215 -3.615 2.098
0.969 1.493 2.010
Co Tc Os
2 1 1
Direct
0.500 0.500 0.000
0.000 0.000 0.000
0.000 0.500 0.500
0.500 0.000 0.500
```

=====

Version x
# Co2TcOs

A relaxed Co2TcOs crystal (GGA-PBE, the Alexandria database).

Calculated values
- ρ: 13.2 g cm⁻³
- Size of the total moment: 1.62 μB per formula unit
- D(E_F): 5.92 states/eV per cell

Geometry as POSCAR:
```
Co2TcOs
1.0
-2.770 3.364 1.077
-3.852 1.141 2.003
1.566 0.979 4.180
Tc Os Co
1 1 2
Direct
0.250 0.250 0.250
0.750 0.750 0.750
0.498 0.498 0.502
0.002 0.002 0.998
```

=====

Stability check: which of them is most stable? version x.